P:
# LiTb4Tl3 (PBE, relaxed)
data_LiTb4Tl3
_space_group_name_H-M_alt 'P 1'
_space_group_IT_number 1
_cell_length_a 8.689
_cell_length_b 8.689
_cell_length_c 8.689
_cell_angle_alpha 144.89
_cell_angle_beta 144.89
_cell_angle_gamma 50.50
loop_
_space_group_symop_operation_xyz
'x,y,z'
loop_
_atom_site_label
_atom_site_fract_x
_atom_site_fract_y
_atom_site_fract_z
_atom_site_occupancy
Li1 0.000 0.000 0.000 1
Tb1 0.125 0.625 0.500 1
Tb2 0.375 0.875 0.500 1
Tb3 0.625 0.125 0.500 1
Tb4 0.875 0.375 0.500 1
Tl1 0.246 0.246 0.000 1
Tl2 0.500 0.500 0.000 1
Tl3 0.754 0.754 0.000 1
# **M_tot**: 0.00 μB/cell
# **Density of states at the Fermi level**: 6.43 states/eV/f.u.

***

Q:
# LiTb4Tl3 (PBE, relaxed)
data_LiTb4Tl3
_space_group_name_H-M_alt 'P 1'
_space_group_IT_number 1
_cell_length_a 3.780
_cell_length_b 4.864
_cell_length_c 12.104
_cell_angle_alpha 90.00
_cell_angle_beta 90.00
_cell_angle_gamma 90.00
loop_
_space_group_symop_operation_xyz
'x,y,z'
loop_
_atom_site_label
_atom_site_fract_x
_atom_site_fract_y
_atom_site_fract_z
_atom_site_occupancy
Li1 0.000 0.000 0.000 1
Tb1 0.000 0.000 0.272 1
Tb2 0.000 0.500 0.592 1
Tb3 0.500 0.000 0.780 1
Tb4 0.500 0.500 0.089 1
Tl1 0.000 0.500 0.863 1
Tl2 0.500 0.000 0.519 1
Tl3 0.500 0.500 0.350 1
# **M_tot**: 0.00 μB/cell
# **Density of states at the Fermi level**: 7.80 states/eV/f.u.

***

Least stable: Q

***

P:
# Li2TbTl3 (PBE, relaxed)
data_Li2TbTl3
_space_group_name_H-M_alt 'P 1'
_space_group_IT_number 1
_cell_length_a 4.959
_cell_length_b 4.959
_cell_length_c 13.501
_cell_angle_alpha 90.00
_cell_angle_beta 90.00
_cell_angle_gamma 120.00
loop_
_space_group_symop_operation_xyz
'x,y,z'
loop_
_atom_site_label
_atom_site_fract_x
_atom_site_fract_y
_atom_site_fract_z
_atom_site_occupancy
Li1 0.333 0.667 0.097 1
Li2 0.333 0.667 0.403 1
Li3 0.667 0.333 0.597 1
Li4 0.667 0.333 0.903 1
Tb1 0.000 0.000 0.250 1
Tb2 0.000 0.000 0.750 1
Tl1 0.000 0.000 0.000 1
Tl2 0.000 0.000 0.500 1
Tl3 0.333 0.667 0.634 1
Tl4 0.333 0.667 0.866 1
Tl5 0.667 0.333 0.134 1
Tl6 0.667 0.333 0.366 1
# **M_tot**: 0.00 μB/cell
# **Density of states at the Fermi level**: 2.86 states/eV/f.u.

***

Q:
# Li2TbTl3 (PBE, relaxed)
data_Li2TbTl3
_space_group_name_H-M_alt 'P 1'
_space_group_IT_number 1
_cell_length_a 5.096
_cell_length_b 5.096
_cell_length_c 12.664
_cell_angle_alpha 90.00
_cell_angle_beta 90.00
_cell_angle_gamma 120.00
loop_
_space_group_symop_operation_xyz
'x,y,z'
loop_
_atom_site_label
_atom_site_fract_x
_atom_site_fract_y
_atom_site_fract_z
_atom_site_occupancy
Li1 0.000 0.000 0.000 1
Li2 0.000 0.000 0.500 1
Li3 0.333 0.667 0.166 1
Li4 0.667 0.333 0.834 1
Tb1 0.333 0.667 0.667 1
Tb2 0.667 0.333 0.333 1
Tl1 0.000 0.000 0.234 1
Tl2 0.000 0.000 0.766 1
Tl3 0.333 0.667 0.417 1
Tl4 0.333 0.667 0.926 1
Tl5 0.667 0.333 0.074 1
Tl6 0.667 0.333 0.583 1
# **M_tot**: 0.00 μB/cell
# **Density of states at the Fermi level**: 3.08 states/eV/f.u.

***

Least stable: P